No. 1
Compound: HoGe2Pt
Source: Alexandria
Functional: meta-GGA SCAN
Structure: PBEsol geometry

Geometry as CIF:
```
data_HoGe2Pt
_symmetry_space_group_name_H-M 'I m m m'
_symmetry_Int_Tables_number 71
_symmetry_space_group_name_Hall '-I 2 2'
_cell_length_a 4.265
_cell_length_b 8.652
_cell_length_c 16.233
_cell_angle_alpha 90.00
_cell_angle_beta 90.00
_cell_angle_gamma 90.00
loop_
_atom_site_label
_atom_site_fract_x
_atom_site_fract_y
_atom_site_fract_z
Ho1 0.000 0.000 0.201
Ho2 0.000 0.234 0.000
Ge1 0.000 0.000 0.426
Ge2 0.000 0.350 0.201
Ge3 0.000 0.500 0.426
Pt1 0.000 0.250 0.352
```

Output
VASP energy: -40.38 eV/atom
Fermi-level density of states: 1.0 states/eV/f.u.

No. 2
Compound: Gd2NiRu
Source: Alexandria
Functional: meta-GGA SCAN
Structure: PBEsol geometry

Geometry as CIF:
```
data_Gd2NiRu
_symmetry_space_group_name_H-M 'F m -3 m'
_symmetry_Int_Tables_number 225
_symmetry_space_group_name_Hall '-F 4 2 3'
_cell_length_a 6.725
_cell_length_b 6.725
_cell_length_c 6.725
_cell_angle_alpha 90.00
_cell_angle_beta 90.00
_cell_angle_gamma 90.00
loop_
_atom_site_label
_atom_site_fract_x
_atom_site_fract_y
_atom_site_fract_z
Gd1 0.250 0.250 0.250
Ni1 0.000 0.000 0.000
Ru1 0.000 0.000 0.500
```

Output
VASP energy: -42.46 eV/atom
Fermi-level density of states: 1.4 states/eV/f.u.

No. 3
Compound: Ni4Ir3
Source: Alexandria
Functional: meta-GGA SCAN
Structure: PBEsol geometry

Geometry as CIF:
```
data_Ni4Ir3
_symmetry_space_group_name_H-M 'I 4/m m m'
_symmetry_Int_Tables_number 139
_symmetry_space_group_name_Hall '-I 4 2'
_cell_length_a 2.661
_cell_length_b 2.661
_cell_length_c 23.837
_cell_angle_alpha 90.00
_cell_angle_beta 90.00
_cell_angle_gamma 90.00
loop_
_atom_site_label
_atom_site_fract_x
_atom_site_fract_y
_atom_site_fract_z
Ni1 0.000 0.000 0.072
Ni2 0.000 0.000 0.362
Ir1 0.000 0.000 0.210
Ir2 0.000 0.000 0.500
```

Output
VASP energy: -39.64 eV/atom
Fermi-level density of states: 9.4 states/eV/f.u.

No. 4
Compound: SiOs4
Source: Alexandria
Functional: meta-GGA SCAN
Structure: PBEsol geometry

Geometry as CIF:
```
data_SiOs4
_symmetry_space_group_name_H-M 'I m -3 m'
_symmetry_Int_Tables_number 229
_symmetry_space_group_name_Hall '-I 4 2 3'
_cell_length_a 5.424
_cell_length_b 5.424
_cell_length_c 5.424
_cell_angle_alpha 90.00
_cell_angle_beta 90.00
_cell_angle_gamma 90.00
loop_
_atom_site_label
_atom_site_fract_x
_atom_site_fract_y
_atom_site_fract_z
Si1 0.000 0.000 0.000
Os1 0.250 0.250 0.250
```

Output
ΔE_f (raw): 5.98 eV/f.u.
Fermi-level density of states: 6.5 states/eV/f.u.

no.,total magnetization (μB per formula unit)
1,0.0
2,13.8
3,0.0
4,0.0